A plane-wave DFT calculation with PBE was carried out for crystalline LiPmPrRe at its relaxed geometry.

Cell: 5.0622 5.0622 5.0622 Å, 60.00 60.00 60.00°
Element x y z (fractional)
Li1 0.0000 0.0000 0.0000
Pm1 0.2500 0.2500 0.2500
Pr1 0.7500 0.7500 0.7500
Re1 0.5000 0.5000 0.5000

Results
**Density of states at the Fermi level**: 2.45 states/eV/f.u.
**Calculated total energy**: -23.2 eV per cell
**Spin magnetization**: 0.00 μB per cell


A plane-wave DFT calculation with PBE was carried out for crystalline LiPmPr2S4 at its relaxed geometry.

Cell: 6.9777 4.0450 6.9827 Å, 90.00 109.51 90.00°
Element x y z (fractional)
Li1 0.0000 0.0000 0.0000
Pm1 0.5000 0.5000 0.0000
Pr1 0.0000 0.5000 0.5000
Pr2 0.5000 0.0000 0.5000
S1 0.2424 0.5000 0.2386
S2 0.2470 0.0000 0.7608
S3 0.7530 0.0000 0.2392
S4 0.7576 0.5000 0.7614

Results
**Density of states at the Fermi level**: 2.71 states/eV/f.u.
**Spin magnetization**: 0.00 μB per cell
**E_form (uncorrected)**: -15.271 eV/f.u.


A plane-wave DFT calculation with PBE was carried out for crystalline LiPmPrS3 at its relaxed geometry.

Cell: 8.3367 3.9198 8.5522 Å, 90.00 101.72 90.00°
Element x y z (fractional)
Li1 0.0860 0.2500 0.0845
Li2 0.9140 0.7500 0.9155
Pm1 0.3399 0.7500 0.3309
Pm2 0.6601 0.2500 0.6691
Pr1 0.1815 0.2500 0.7190
Pr2 0.8185 0.7500 0.2810
S1 0.0968 0.2500 0.3659
S2 0.2057 0.7500 0.9939
S3 0.4204 0.7500 0.6722
S4 0.5796 0.2500 0.3278
S5 0.7943 0.2500 0.0061
S6 0.9032 0.7500 0.6341

Results
**Density of states at the Fermi level**: 1.80 states/eV/f.u.
**Spin magnetization**: 0.00 μB per cell
**E_form (uncorrected)**: -10.947 eV/f.u.


- The lowest density of states at the Fermi level belongs to which entry?
  LiPmPrS3


Repeat the second record exactly.
A plane-wave DFT calculation with PBE was carried out for crystalline LiPmPr2S4 at its relaxed geometry.

Cell: 6.9777 4.0450 6.9827 Å, 90.00 109.51 90.00°
Element x y z (fractional)
Li1 0.0000 0.0000 0.0000
Pm1 0.5000 0.5000 0.0000
Pr1 0.0000 0.5000 0.5000
Pr2 0.5000 0.0000 0.5000
S1 0.2424 0.5000 0.2386
S2 0.2470 0.0000 0.7608
S3 0.7530 0.0000 0.2392
S4 0.7576 0.5000 0.7614

Results
**Density of states at the Fermi level**: 2.71 states/eV/f.u.
**Spin magnetization**: 0.00 μB per cell
**E_form (uncorrected)**: -15.271 eV/f.u.